Record 1
Compound: SrMgP2
Source: Alexandria via LeMat-Bulk
Functional: meta-GGA SCAN
Structure: PBEsol geometry

Properties
size of the total moment = 0.0 μB/cell
energy relative to the elements = -0.410 eV per atom

Lattice parameters (Å, degrees): 3.9259 4.0483 6.3835 108.49 107.91 90.00
Closest atoms and distances in Å follow each position.
Atoms (fractional coordinates):
Mg (0.2341, 0.7341, 0.4683)  6 P 2.71-2.84
P (0.0765, 0.0765, 0.1529)  2 P 2.47, 2 Mg 2.71
P (0.7071, 0.2071, 0.4143)  2 P 2.47
Sr (0.4823, 0.4823, 0.9646)  6 P 3.02-3.28

Record 2
Compound: Sr3MgP
Source: Alexandria via LeMat-Bulk
Functional: meta-GGA SCAN
Structure: PBEsol geometry

Properties
E above lowest polymorph = 0.0000 eV/atom
size of the total moment = 0.5 μB/cell
energy relative to the elements = -0.537 eV per atom

Lattice parameters (Å, degrees): 5.8488 5.8488 5.8488 90.00 90.00 90.00
Closest atoms and distances in Å follow each position.
Atoms (fractional coordinates):
Sr (0.0000, 0.5000, 0.0000)  2 P 2.92
Sr (0.0000, 0.0000, 0.5000)  2 P 2.92
Sr (0.5000, 0.0000, 0.0000)  2 P 2.92
Mg (0.5000, 0.5000, 0.5000)  12 Sr 4.14
P (0.0000, 0.0000, 0.0000)  6 Sr 2.92

| no. | calculated total energy (eV/atom) |
| --- | --- |
| 1 | -12.422 |
| 2 | -16.977 |